Entry 1:
# AlCoP | Alexandria via LeMat-Bulk | PBE-GGA | relaxed
data_AlCoP
_chemical_formula_sum 'Al1 Co1 P1'
_cell_length_a 3.8231
_cell_length_b 3.8231
_cell_length_c 3.8231
_cell_angle_alpha 60.00
_cell_angle_beta 60.00
_cell_angle_gamma 60.00
_symmetry_space_group_name_H-M 'P 1'
_symmetry_Int_Tables_number 1
loop_
_symmetry_equiv_pos_as_xyz
'x,y,z'
loop_
_atom_site_label
_atom_site_fract_x
_atom_site_fract_y
_atom_site_fract_z
P1 0.0000 0.0000 0.0000
Al1 0.5000 0.5000 0.5000
Co1 0.7500 0.7500 0.7500
# Calculated formation energy: -1.47 eV/f.u.
# Magnetic moment: 0.000 μB/cell
# Crystal system: cubic
# Raw total energy: -5.911 eV/atom

---

Entry 2:
# Bi3PdAu | Alexandria via LeMat-Bulk | PBE-GGA | relaxed
data_Bi3PdAu
_chemical_formula_sum 'Bi3 Pd1 Au1'
_cell_length_a 5.3551
_cell_length_b 5.3551
_cell_length_c 5.3551
_cell_angle_alpha 90.00
_cell_angle_beta 90.00
_cell_angle_gamma 90.00
_symmetry_space_group_name_H-M 'P 1'
_symmetry_Int_Tables_number 1
loop_
_symmetry_equiv_pos_as_xyz
'x,y,z'
loop_
_atom_site_label
_atom_site_fract_x
_atom_site_fract_y
_atom_site_fract_z
Au1 0.5000 0.5000 0.5000
Bi1 0.5000 0.0000 0.0000
Bi2 0.0000 0.0000 0.5000
Bi3 0.0000 0.5000 0.0000
Pd1 0.0000 0.0000 0.0000
# Calculated formation energy: 1.96 eV/f.u.
# Energy above the most stable polymorph in this dataset: 464 meV/atom
# Magnetic moment: 0.000 μB/cell
# Crystal system: cubic
# Raw total energy: -3.630 eV/atom

---

Entry 3:
# Bi4Pd8S | Alexandria via LeMat-Bulk | PBE-GGA | relaxed
data_Bi4Pd8S
_chemical_formula_sum 'Bi4 Pd8 S1'
_cell_length_a 4.4297
_cell_length_b 3.7947
_cell_length_c 15.0145
_cell_angle_alpha 90.00
_cell_angle_beta 90.00
_cell_angle_gamma 90.00
_symmetry_space_group_name_H-M 'P 1'
_symmetry_Int_Tables_number 1
loop_
_symmetry_equiv_pos_as_xyz
'x,y,z'
loop_
_atom_site_label
_atom_site_fract_x
_atom_site_fract_y
_atom_site_fract_z
Pd1 0.5000 0.0000 0.2393
Pd2 0.5000 0.5000 0.7409
Pd3 0.5000 0.0000 0.5869
Pd4 0.0000 0.5000 0.9176
Pd5 0.0000 0.0000 0.4628
Pd6 0.0000 0.5000 0.2067
Pd7 0.0000 0.0000 0.7672
Pd8 0.5000 0.5000 0.0735
S1 0.0000 0.0000 0.3032
Bi1 0.0000 0.0000 0.0676
Bi2 0.0000 0.5000 0.6226
Bi3 0.5000 0.5000 0.4311
Bi4 0.5000 0.0000 0.8837
# Energy relative to the elements, uncorrected: -215 meV per atom
# Magnetic moment: 0.000 μB/cell
# Crystal system: orthorhombic
# Raw total energy: -4.922 eV/atom

---

Entry 4:
# Ba3Ag2Pb4 | Alexandria via LeMat-Bulk | PBE-GGA | relaxed
data_Ba3Ag2Pb4
_chemical_formula_sum 'Ba3 Ag2 Pb4'
_cell_length_a 5.1873
_cell_length_b 6.7147
_cell_length_c 9.9746
_cell_angle_alpha 102.06
_cell_angle_beta 90.00
_cell_angle_gamma 112.72
_symmetry_space_group_name_H-M 'P 1'
_symmetry_Int_Tables_number 1
loop_
_symmetry_equiv_pos_as_xyz
'x,y,z'
loop_
_atom_site_label
_atom_site_fract_x
_atom_site_fract_y
_atom_site_fract_z
Ba1 0.6295 0.2589 0.6927
Ba2 0.0000 0.0000 0.0000
Ba3 0.3705 0.7411 0.3073
Ag1 0.6837 0.3675 0.3557
Ag2 0.3163 0.6325 0.6443
Pb1 0.0958 0.1917 0.4166
Pb2 0.2929 0.5858 0.9327
Pb3 0.9042 0.8083 0.5834
Pb4 0.7071 0.4142 0.0673
# Calculated formation energy: -3.70 eV/f.u.
# Energy above the most stable polymorph in this dataset: 0 meV/atom
# Magnetic moment: 0.000 μB/cell
# Crystal system: monoclinic
# Raw total energy: -3.334 eV/atom

---

Entry 5:
# NaIn2Hg2 | Alexandria via LeMat-Bulk | PBE-GGA | relaxed
data_NaIn2Hg2
_chemical_formula_sum 'Na1 In2 Hg2'
_cell_length_a 4.4978
_cell_length_b 4.4978
_cell_length_c 7.6403
_cell_angle_alpha 72.88
_cell_angle_beta 72.88
_cell_angle_gamma 90.00
_symmetry_space_group_name_H-M 'P 1'
_symmetry_Int_Tables_number 1
loop_
_symmetry_equiv_pos_as_xyz
'x,y,z'
loop_
_atom_site_label
_atom_site_fract_x
_atom_site_fract_y
_atom_site_fract_z
In1 0.7500 0.2500 0.5000
In2 0.2500 0.7500 0.5000
Na1 0.0000 0.0000 0.0000
Hg1 0.3989 0.3989 0.2023
Hg2 0.6011 0.6011 0.7977
# Calculated formation energy: -0.40 eV/f.u.
# Energy above the most stable polymorph in this dataset: 25 meV/atom
# Magnetic moment: 0.000 μB/cell
# Crystal system: tetragonal
# Raw total energy: -1.559 eV/atom

---

Entry 6:
# HoHfPa | Alexandria via LeMat-Bulk | PBE-GGA | relaxed
data_HoHfPa
_chemical_formula_sum 'Ho1 Hf1 Pa1'
_cell_length_a 3.2857
_cell_length_b 5.2165
_cell_length_c 5.2165
_cell_angle_alpha 120.00
_cell_angle_beta 90.00
_cell_angle_gamma 90.00
_symmetry_space_group_name_H-M 'P 1'
_symmetry_Int_Tables_number 1
loop_
_symmetry_equiv_pos_as_xyz
'x,y,z'
loop_
_atom_site_label
_atom_site_fract_x
_atom_site_fract_y
_atom_site_fract_z
Ho1 0.6669 0.6667 0.3333
Hf1 0.1661 0.0000 0.0000
Pa1 0.1670 0.3333 0.6667
# Calculated formation energy: 0.70 eV/f.u.
# Energy above the most stable polymorph in this dataset: 62 meV/atom
# Magnetic moment: 0.001 μB/cell
# Crystal system: hexagonal
# Raw total energy: -7.775 eV/atom

---

Entry 7:
# NbV2As | Alexandria via LeMat-Bulk | PBE-GGA | relaxed
data_NbV2As
_chemical_formula_sum 'Nb2 V4 As2'
_cell_length_a 7.1693
_cell_length_b 7.1693
_cell_length_c 5.6797
_cell_angle_alpha 50.87
_cell_angle_beta 50.87
_cell_angle_gamma 90.00
_symmetry_space_group_name_H-M 'P 1'
_symmetry_Int_Tables_number 1
loop_
_symmetry_equiv_pos_as_xyz
'x,y,z'
loop_
_atom_site_label
_atom_site_fract_x
_atom_site_fract_y
_atom_site_fract_z
V1 0.8750 0.8386 0.7500
V2 0.5886 0.1250 0.2500
V3 0.1614 0.6250 0.2500
V4 0.3750 0.4114 0.7500
Nb1 0.7500 0.2500 0.5000
Nb2 0.0000 0.0000 0.0000
As1 0.5000 0.5000 0.0000
As2 0.2500 0.7500 0.5000
# Calculated formation energy: 1.24 eV/f.u.
# Magnetic moment: 0.000 μB/cell
# Crystal system: tetragonal
# Raw total energy: -7.929 eV/atom

---

Entry 8:
# Ga6Ir2Pt | Alexandria via LeMat-Bulk | PBE-GGA | relaxed
data_Ga6Ir2Pt
_chemical_formula_sum 'Ga12 Ir4 Pt2'
_cell_length_a 6.3220
_cell_length_b 6.6055
_cell_length_c 7.5227
_cell_angle_alpha 90.00
_cell_angle_beta 88.32
_cell_angle_gamma 90.00
_symmetry_space_group_name_H-M 'P 1'
_symmetry_Int_Tables_number 1
loop_
_symmetry_equiv_pos_as_xyz
'x,y,z'
loop_
_atom_site_label
_atom_site_fract_x
_atom_site_fract_y
_atom_site_fract_z
Ga1 0.1926 0.0349 0.7871
Ga2 0.6656 0.1542 0.9233
Ga3 0.1402 0.3436 0.0614
Ga4 0.3344 0.8458 0.0767
Ga5 0.6402 0.1564 0.5614
Ga6 0.3074 0.5349 0.7129
Ga7 0.3598 0.8436 0.4386
Ga8 0.8598 0.6564 0.9386
Ga9 0.1656 0.3458 0.4233
Ga10 0.6926 0.4651 0.2871
Ga11 0.8074 0.9651 0.2129
Ga12 0.8344 0.6542 0.5767
Ir1 0.4689 0.1605 0.2468
Ir2 0.5311 0.8395 0.7532
Ir3 0.9689 0.3395 0.7468
Ir4 0.0311 0.6605 0.2532
Pt1 0.5000 0.5000 0.0000
Pt2 0.0000 0.0000 0.5000
# Calculated formation energy: -3.04 eV/f.u.
# Magnetic moment: 0.000 μB/cell
# Crystal system: monoclinic
# Raw total energy: -4.996 eV/atom

---

Entry 9:
# RbSnHgF6 | Alexandria via LeMat-Bulk | PBE-GGA | relaxed
data_RbSnHgF6
_chemical_formula_sum 'Rb1 Sn1 Hg1 F6'
_cell_length_a 6.5232
_cell_length_b 6.5233
_cell_length_c 4.8914
_cell_angle_alpha 89.93
_cell_angle_beta 90.07
_cell_angle_gamma 59.87
_symmetry_space_group_name_H-M 'P 1'
_symmetry_Int_Tables_number 1
loop_
_symmetry_equiv_pos_as_xyz
'x,y,z'
loop_
_atom_site_label
_atom_site_fract_x
_atom_site_fract_y
_atom_site_fract_z
F1 0.0827 0.5977 0.7290
F2 0.5977 0.0828 0.2711
F3 0.5972 0.3197 0.7303
F4 0.3197 0.5972 0.2697
F5 0.3203 0.0830 0.7302
F6 0.0830 0.3203 0.2698
Hg1 0.9997 0.9997 0.0000
Rb1 0.6663 0.6663 0.4999
Sn1 0.3333 0.3333 0.5000
# Energy relative to the elements, uncorrected: -2197 meV per atom
# Magnetic moment: 0.537 μB/cell
# Crystal system: monoclinic
# Raw total energy: -4.030 eV/atom

---

Entry 10:
# Pa2Fe5P4 | Alexandria via LeMat-Bulk | PBE-GGA | relaxed
data_Pa2Fe5P4
_chemical_formula_sum 'Pa2 Fe5 P4'
_cell_length_a 5.2472
_cell_length_b 5.2417
_cell_length_c 6.9587
_cell_angle_alpha 79.12
_cell_angle_beta 67.85
_cell_angle_gamma 59.97
_symmetry_space_group_name_H-M 'P 1'
_symmetry_Int_Tables_number 1
loop_
_symmetry_equiv_pos_as_xyz
'x,y,z'
loop_
_atom_site_label
_atom_site_fract_x
_atom_site_fract_y
_atom_site_fract_z
P1 0.2129 0.3123 0.2618
P2 0.5253 0.6877 0.2618
P3 0.7871 0.6877 0.7382
P4 0.4747 0.3123 0.7382
Pa1 0.8669 0.0000 0.2662
Pa2 0.1331 0.0000 0.7338
Fe1 0.7500 0.5000 0.5000
Fe2 0.5000 0.0000 0.0000
Fe3 0.5000 0.5000 0.0000
Fe4 0.0000 0.5000 0.0000
Fe5 0.2500 0.5000 0.5000
# Calculated formation energy: -8.11 eV/f.u.
# Magnetic moment: 0.000 μB/cell
# Crystal system: orthorhombic
# Raw total energy: -8.277 eV/atom

---

Entry 11:
# K3Rb8 | Alexandria via LeMat-Bulk | PBE-GGA | relaxed
data_K3Rb8
_chemical_formula_sum 'K3 Rb8'
_cell_length_a 10.0605
_cell_length_b 10.0605
_cell_length_c 10.0605
_cell_angle_alpha 86.03
_cell_angle_beta 86.03
_cell_angle_gamma 86.03
_symmetry_space_group_name_H-M 'P 1'
_symmetry_Int_Tables_number 1
loop_
_symmetry_equiv_pos_as_xyz
'x,y,z'
loop_
_atom_site_label
_atom_site_fract_x
_atom_site_fract_y
_atom_site_fract_z
Rb1 0.1123 0.6943 0.8576
Rb2 0.1424 0.8877 0.3057
Rb3 0.6943 0.8576 0.1123
Rb4 0.8576 0.1123 0.6943
Rb5 0.3814 0.3814 0.3814
Rb6 0.6186 0.6186 0.6186
Rb7 0.8877 0.3057 0.1424
Rb8 0.3057 0.1424 0.8877
K1 0.0000 0.5000 0.5000
K2 0.5000 0.5000 0.0000
K3 0.5000 0.0000 0.5000
# Calculated formation energy: 1.00 eV/f.u.
# Energy above the most stable polymorph in this dataset: 85 meV/atom
# Magnetic moment: 0.000 μB/cell
# Crystal system: trigonal
# Raw total energy: -0.912 eV/atom

---

Entry 12:
# Tb3Pr2Ho | Alexandria via LeMat-Bulk | PBE-GGA | relaxed
data_Tb3Pr2Ho
_chemical_formula_sum 'Tb6 Pr4 Ho2'
_cell_length_a 3.4971
_cell_length_b 16.5964
_cell_length_c 7.0138
_cell_angle_alpha 90.00
_cell_angle_beta 90.00
_cell_angle_gamma 90.00
_symmetry_space_group_name_H-M 'P 1'
_symmetry_Int_Tables_number 1
loop_
_symmetry_equiv_pos_as_xyz
'x,y,z'
loop_
_atom_site_label
_atom_site_fract_x
_atom_site_fract_y
_atom_site_fract_z
Ho1 0.0000 0.0000 0.5000
Ho2 0.5000 0.5000 0.0000
Pr1 0.5000 0.1603 0.7492
Pr2 0.5000 0.8397 0.2508
Pr3 0.0000 0.6603 0.7508
Pr4 0.0000 0.3397 0.2492
Tb1 0.5000 0.8483 0.7506
Tb2 0.0000 0.6517 0.2506
Tb3 0.5000 0.5000 0.5000
Tb4 0.0000 0.3483 0.7494
Tb5 0.0000 0.0000 0.0000
Tb6 0.5000 0.1517 0.2494
# Calculated formation energy: 0.85 eV/f.u.
# Energy above the most stable polymorph in this dataset: 59 meV/atom
# Magnetic moment: 0.000 μB/cell
# Crystal system: orthorhombic
# Raw total energy: -4.529 eV/atom